(1)
Entry from Alexandria via LeMat-Bulk: a relaxed structure of ZrAgRu2 (PBE).

## Properties
DOS at the Fermi energy   4.569 states/eV/f.u.
Energy relative to the lowest polymorph listed for this composition   75 meV/atom
Space group   I-4m2, No. 119

abc: 4.992 4.992 4.992
angles: 132.77 132.77 69.02
Atoms (fractional coordinates):
1 Ag 0.750 0.250 0.500
2 Ru 0.000 0.000 0.000
3 Ru 0.250 0.750 0.500
4 Zr 0.500 0.500 0.000

=====

(2)
Entry from Alexandria via LeMat-Bulk: a relaxed structure of AcTiAs2 (PBE).

## Properties
DOS at the Fermi energy   4.932 states/eV/f.u.
Energy relative to the lowest polymorph listed for this composition   415 meV/atom
Space group   Fm-3m, No. 225

abc: 5.079 5.079 5.079
angles: 60.00 60.00 60.00
Atoms (fractional coordinates):
1 Ac 0.000 0.000 0.000
2 As 0.250 0.250 0.250
3 As 0.750 0.750 0.750
4 Ti 0.500 0.500 0.500

=====

(3)
Entry from Alexandria via LeMat-Bulk: a relaxed structure of NbCr2Ga (PBE).

## Properties
DOS at the Fermi energy   4.585 states/eV/f.u.
Space group   P4/mmm, No. 123
E_tot   -8.08 eV per atom

abc: 3.262 4.180 4.180
angles: 90.00 90.00 90.00
Atoms (fractional coordinates):
1 Cr 0.000 0.000 0.500
2 Cr 0.000 0.500 0.000
3 Nb 0.500 0.000 0.000
4 Ga 0.500 0.500 0.500

=====

(4)
Entry from Alexandria via LeMat-Bulk: a relaxed structure of ZnH (PBE).

## Properties
DOS at the Fermi energy   0.634 states/eV/f.u.
Space group   Amm2, No. 38
E_tot   -2.09 eV per atom

abc: 4.595 2.493 4.662
angles: 90.00 119.52 90.00
Atoms (fractional coordinates):
1 Zn 0.892 0.000 0.119
2 Zn 0.233 0.500 0.801
3 H 0.471 0.500 0.448
4 H 0.643 0.500 0.450

=====

(5)
Entry from Alexandria via LeMat-Bulk: a relaxed structure of CaAc5Nd2Y (PBE).

## Properties
DOS at the Fermi energy   14.300 states/eV/f.u.
Space group   Cmc2_1, No. 36
E_tot   -4.13 eV per atom

abc: 5.940 11.598 11.269
angles: 90.00 90.00 104.84
Atoms (fractional coordinates):
1 Ca 0.598 0.197 0.007
2 Ca 0.402 0.803 0.507
3 Ac 0.371 0.743 0.009
4 Ac 0.719 0.438 0.818
5 Ac 0.500 0.999 0.758
6 Ac 0.282 0.563 0.699
7 Ac 0.997 0.993 0.508
8 Ac 0.629 0.257 0.509
9 Ac 0.281 0.562 0.318
10 Ac 0.500 0.001 0.258
11 Ac 0.718 0.437 0.199
12 Ac 0.003 0.007 0.008
13 Nd 0.885 0.771 0.775
14 Nd 0.115 0.230 0.742
15 Nd 0.115 0.229 0.275
16 Nd 0.885 0.770 0.242
17 Y 0.803 0.607 0.508
18 Y 0.197 0.393 0.008

=====

(6)
Entry from Alexandria via LeMat-Bulk: a relaxed structure of NpRhS3 (PBE).

## Properties
DOS at the Fermi energy   7.885 states/eV/f.u.
Energy relative to the lowest polymorph listed for this composition   68 meV/atom
Space group   P2_1/c, No. 14
Formation energy from raw total energies   -856 meV per atom

abc: 5.706 7.574 8.893
angles: 99.77 90.00 90.00
Atoms (fractional coordinates):
1 Np 0.767 0.661 0.164
2 Np 0.233 0.339 0.836
3 Np 0.267 0.339 0.336
4 Np 0.733 0.661 0.664
5 Rh 0.260 0.898 0.581
6 Rh 0.740 0.102 0.419
7 Rh 0.760 0.102 0.919
8 Rh 0.240 0.898 0.081
9 S 0.074 0.928 0.331
10 S 0.926 0.072 0.669
11 S 0.574 0.072 0.169
12 S 0.426 0.928 0.831
13 S 0.599 0.817 0.436
14 S 0.401 0.183 0.564
15 S 0.099 0.183 0.064
16 S 0.901 0.817 0.936
17 S 0.222 0.581 0.620
18 S 0.778 0.419 0.380
19 S 0.722 0.419 0.880
20 S 0.278 0.581 0.120